A relaxed structure of AlSi2Ni2. Source: the Alexandria database, functional PBE-GGA.

Values from the calculation:
- Volume: 12.84 Å³/atom
- E: -5.4291 eV per atom
- Crystal system: tetragonal
- DOS(E_F): 4.5 states/eV/cell
- Energy relative to the elements, uncorrected: -0.20 eV per atom

Cell lengths 7.1719, 7.1719, 2.4964 Å; angles 90.00, 90.00, 90.00 degrees
Fractional coordinates of all 10 atoms:
Al: 0.0000 0.0000 0.0000
Al: 0.5000 0.5000 0.0000
Si: 0.1284 0.3716 0.0000
Si: 0.3716 0.8716 0.0000
Si: 0.6284 0.1284 0.0000
Si: 0.8716 0.6284 0.0000
Ni: 0.1670 0.6670 0.5000
Ni: 0.3330 0.1670 0.5000
Ni: 0.6670 0.8330 0.5000
Ni: 0.8330 0.3330 0.5000

***

A relaxed structure of Ac2CuPt9. Source: the Alexandria database, functional PBE-GGA.

Values from the calculation:
- Volume: 19.73 Å³/atom
- E: -6.0405 eV per atom
- Crystal system: trigonal
- DOS(E_F): 9.0 states/eV/cell

Cell lengths 9.4941, 9.4941, 9.4941 Å; angles 33.86, 33.86, 33.86 degrees
Fractional coordinates of all 12 atoms:
Ac: 0.1337 0.1337 0.1337
Ac: 0.8663 0.8663 0.8663
Cu: 0.0000 0.0000 0.0000
Pt: 0.0786 0.5836 0.5836
Pt: 0.3323 0.3323 0.3323
Pt: 0.4164 0.4164 0.9214
Pt: 0.4164 0.9214 0.4164
Pt: 0.5000 0.5000 0.5000
Pt: 0.5836 0.0786 0.5836
Pt: 0.5836 0.5836 0.0786
Pt: 0.6677 0.6677 0.6677
Pt: 0.9214 0.4164 0.4164